Run A
Material: AcTb6Ho2
Method: DFT, PBE
State: optimized geometry

Cell lengths 10.383, 10.383, 6.180 Å; angles 92.20, 92.20, 116.52 degrees
Element x y z (fractional)
Ac  0.249  0.751  0.750
Ac  0.751  0.249  0.250
Tb  0.020  0.166  0.990
Tb  0.088  0.589  0.228
Tb  0.166  0.020  0.490
Tb  0.333  0.481  0.008
Tb  0.411  0.912  0.272
Tb  0.481  0.333  0.508
Tb  0.519  0.667  0.492
Tb  0.589  0.088  0.728
Tb  0.667  0.519  0.992
Tb  0.834  0.980  0.510
Tb  0.912  0.411  0.772
Tb  0.980  0.834  0.010
Ho  0.155  0.345  0.499
Ho  0.345  0.155  0.999
Ho  0.655  0.845  0.001
Ho  0.845  0.655  0.501

Calculated values
V in Å³/atom: 33.03
Total magnetization in μB/f.u.: 0.0
Space-group type: No. 15

***

Run B
Material: AcTb6Ho2
Method: DFT, PBE
State: optimized geometry

Cell lengths 3.623, 3.623, 26.531 Å; angles 90.00, 90.00, 120.00 degrees
Element x y z (fractional)
Ac  0.000  0.000  0.000
Tb  0.000  0.000  0.224
Tb  0.000  0.000  0.435
Tb  0.000  0.000  0.565
Tb  0.000  0.000  0.776
Tb  0.333  0.667  0.118
Tb  0.333  0.667  0.882
Ho  0.333  0.667  0.331
Ho  0.333  0.667  0.669

Calculated values
V in Å³/atom: 33.51
Total magnetization in μB/f.u.: 0.1
Space-group type: No. 187

***

run B takes first place; second place is 51 meV per atom up.

***

Run A
Material: Ac4TbHo
Method: DFT, PBE
State: optimized geometry

Cell lengths 3.753, 6.163, 10.511 Å; angles 89.80, 89.31, 82.87 degrees
Element x y z (fractional)
Ac  0.216  0.033  0.161
Ac  0.278  0.466  0.664
Ac  0.722  0.534  0.336
Ac  0.784  0.967  0.839
Tb  0.000  0.000  0.500
Ho  0.500  0.500  0.000

Calculated values
V in Å³/atom: 40.21
Total magnetization in μB/f.u.: 0.0
Space-group type: No. 2

***

Run B
Material: Ac4TbHo
Method: DFT, PBE
State: optimized geometry

Cell lengths 7.126, 7.126, 7.126 Å; angles 60.00, 60.00, 60.00 degrees
Element x y z (fractional)
Ac  0.125  0.125  0.125
Ac  0.125  0.125  0.626
Ac  0.125  0.626  0.125
Ac  0.626  0.125  0.125
Tb  0.500  0.500  0.500
Ho  0.750  0.750  0.750

Calculated values
V in Å³/atom: 42.65
Total magnetization in μB/f.u.: 0.0
Space-group type: No. 216

***

run A takes first place; second place is 248 meV per atom up.

***

Run A
Material: AcTb3Ho3
Method: DFT, PBE
State: optimized geometry

Cell lengths 13.005, 13.005, 13.005 Å; angles 117.10, 117.10, 117.10 degrees
Element x y z (fractional)
Ac  0.000  0.000  0.000
Ac  0.416  0.600  0.600
Ac  0.600  0.416  0.600
Ac  0.600  0.600  0.416
Tb  0.014  0.560  0.765
Tb  0.014  0.765  0.560
Tb  0.040  0.040  0.300
Tb  0.040  0.300  0.040
Tb  0.300  0.040  0.040
Tb  0.325  0.325  0.773
Tb  0.325  0.773  0.325
Tb  0.560  0.014  0.765
Tb  0.560  0.765  0.014
Tb  0.765  0.014  0.560
Tb  0.765  0.560  0.014
Tb  0.773  0.325  0.325
Ho  0.005  0.275  0.534
Ho  0.005  0.534  0.275
Ho  0.151  0.151  0.858
Ho  0.151  0.858  0.151
Ho  0.275  0.005  0.534
Ho  0.275  0.534  0.005
Ho  0.329  0.802  0.802
Ho  0.534  0.005  0.275
Ho  0.534  0.275  0.005
Ho  0.802  0.329  0.802
Ho  0.802  0.802  0.329
Ho  0.858  0.151  0.151

Calculated values
V in Å³/atom: 34.09
Total magnetization in μB/f.u.: 0.0
Space-group type: No. 160

***

Run B
Material: AcTb3Ho3
Method: DFT, PBE
State: optimized geometry

Cell lengths 6.410, 6.410, 6.410 Å; angles 102.62, 102.62, 102.62 degrees
Element x y z (fractional)
Ac  0.000  0.000  0.000
Tb  0.067  0.425  0.425
Tb  0.425  0.067  0.425
Tb  0.425  0.425  0.067
Ho  0.450  0.861  0.861
Ho  0.861  0.450  0.861
Ho  0.861  0.861  0.450

Calculated values
V in Å³/atom: 34.39
Total magnetization in μB/f.u.: 0.0
Space-group type: No. 160

***

run A takes first place; second place is 198 meV per atom up.

***

Run A
Material: AcTb2Ho3
Method: DFT, PBE
State: optimized geometry

Cell lengths 11.684, 11.684, 10.516 Å; angles 108.78, 108.78, 17.59 degrees
Element x y z (fractional)
Ac  0.180  0.180  0.036
Ac  0.820  0.820  0.964
Tb  0.192  0.192  0.376
Tb  0.436  0.436  0.850
Tb  0.564  0.564  0.150
Tb  0.808  0.808  0.624
Ho  0.059  0.059  0.445
Ho  0.196  0.196  0.711
Ho  0.433  0.433  0.251
Ho  0.567  0.567  0.749
Ho  0.804  0.804  0.289
Ho  0.941  0.941  0.555

Calculated values
V in Å³/atom: 34.19
Total magnetization in μB/f.u.: 0.0
Space-group type: No. 12

***

Run B
Material: AcTb2Ho3
Method: DFT, PBE
State: optimized geometry

Cell lengths 6.747, 6.747, 9.036 Å; angles 98.12, 98.12, 94.89 degrees
Element x y z (fractional)
Ac  0.078  0.922  0.750
Ac  0.922  0.078  0.250
Tb  0.131  0.621  0.374
Tb  0.379  0.869  0.126
Tb  0.621  0.131  0.874
Tb  0.869  0.379  0.626
Ho  0.175  0.353  0.005
Ho  0.353  0.175  0.505
Ho  0.420  0.580  0.750
Ho  0.580  0.420  0.250
Ho  0.647  0.825  0.495
Ho  0.825  0.647  0.995

Calculated values
V in Å³/atom: 33.40
Total magnetization in μB/f.u.: 0.0
Space-group type: No. 15

***

run B takes first place; second place is 38 meV per atom up.